## BaBeV2F (PBE+U)

Data for a geometry-optimized BaBeV2F structure.

## Properties
The density of states at the Fermi level is 2.8 states/eV per cell. The value obtained for the total energy is -20.7 eV per formula unit. As for the space-group type: P4/mmm.

```
data_BaBeV2F
_chemical_formula_sum 'Ba1 Be1 V2 F1'
_cell_length_a 4.574
_cell_length_b 5.271
_cell_length_c 4.574
_cell_angle_alpha 90.00
_cell_angle_beta 90.00
_cell_angle_gamma 90.00
_symmetry_space_group_name_H-M 'P 1'
_symmetry_Int_Tables_number 1
_symmetry_space_group_name_Hall 'P 1'
loop_
_atom_site_label
_atom_site_fract_x
_atom_site_fract_y
_atom_site_fract_z
Be1 0.500 0.500 0.500
V1 0.500 0.000 0.000
Ba1 0.000 0.500 0.000
V2 0.000 0.000 0.500
F1 0.000 0.000 0.000
```